## CrTe2As (PBE-GGA)

Data for crystalline CrTe2As at its relaxed geometry.

abc: 9.3554 9.3554 9.3554
angles: 21.46 21.46 21.46
Atoms (fractional coordinates):
As 0.0000 0.0000 0.0000
Cr 0.5000 0.5000 0.5000
Te 0.1053 0.1053 0.1053
Te 0.8947 0.8947 0.8947

Values from the calculation:
Its uncorrected formation energy is 308 meV/atom. As for the crystal system: trigonal. As for the electronic total energy: -19.3 eV per cell.

***

## BaPHCl2 (PBE-GGA)

Data for crystalline BaPHCl2 at its relaxed geometry.

abc: 5.4150 3.7301 5.4150
angles: 90.00 90.00 90.00
Site moments in Bohr magnetons follow the coordinates.
Atoms (fractional coordinates):
Ba 0.5000 0.5000 0.5000  0.01
Cl 0.5000 0.0000 0.0000  0.10
Cl 0.0000 0.0000 0.5000  0.13
P 0.0000 0.5000 0.0000  0.75
H 0.0000 0.0000 0.0000  0.00

Values from the calculation:
As for the crystal system: tetragonal. As for the excess energy over the best structure of this formula in the dataset: 0.0 kJ per mole of atoms. As for the electronic total energy: -17.6 eV per cell.

***

## Ho2AlZn2Cu5 (PBE-GGA)

Data for crystalline Ho2AlZn2Cu5 at its relaxed geometry.

abc: 3.5021 9.6848 9.6848
angles: 90.00 90.00 90.00
Atoms (fractional coordinates):
Cu 0.5000 0.8062 0.9496
Al 0.0000 0.5000 0.5000
Zn 0.0000 0.1208 0.6208
Al 0.0000 0.0000 0.0000
Zn 0.0000 0.8792 0.3792
Cu 0.5000 0.5504 0.6938
Cu 0.5000 0.6938 0.4496
Cu 0.5000 0.1938 0.0504
Ho 0.0000 0.1790 0.3210
Cu 0.5000 0.5000 0.0000
Zn 0.0000 0.6208 0.8792
Cu 0.5000 0.0000 0.5000
Ho 0.0000 0.8210 0.6790
Cu 0.5000 0.4496 0.3062
Cu 0.5000 0.0504 0.8062
Ho 0.0000 0.6790 0.1790
Cu 0.5000 0.3062 0.5504
Ho 0.0000 0.3210 0.8210
Cu 0.5000 0.9496 0.1938
Zn 0.0000 0.3792 0.1208

Values from the calculation:
As for the crystal system: tetragonal. As for the electronic total energy: -75.2 eV per cell.

***

## Cu2BiF (PBE-GGA)

Data for crystalline Cu2BiF at its relaxed geometry.

abc: 4.5198 4.5198 4.5198
angles: 60.00 60.00 60.00
Atoms (fractional coordinates):
Bi 0.5000 0.5000 0.5000
Cu 0.2500 0.2500 0.2500
F 0.0000 0.0000 0.0000
Cu 0.7500 0.7500 0.7500

Values from the calculation:
Its uncorrected formation energy is -108 meV/atom. As for the crystal system: cubic. As for the excess energy over the best structure of this formula in the dataset: 17.4 kJ per mole of atoms. As for the electronic total energy: -14.4 eV per cell.

***

## AlFeAu (PBE-GGA)

Data for crystalline AlFeAu at its relaxed geometry.

abc: 4.3165 4.3165 2.8253
angles: 90.00 90.00 120.00
Site moments in Bohr magnetons follow the coordinates.
Atoms (fractional coordinates):
Fe 0.3333 0.6667 0.6790  2.58
Al 0.0000 0.0000 0.0828  -0.05
Au 0.6667 0.3333 0.2382  -0.03

Values from the calculation:
As for the crystal system: trigonal. As for the electronic total energy: -15.6 eV per cell.

***

## FePbCS2 (PBE-GGA)

Data for crystalline FePbCS2 at its relaxed geometry.

abc: 4.8019 3.7538 4.8019
angles: 90.00 90.00 90.00
Site moments in Bohr magnetons follow the coordinates.
Atoms (fractional coordinates):
Fe 0.0000 0.5000 0.0000  2.33
S 0.5000 0.0000 0.0000  0.07
C 0.0000 0.0000 0.0000  -0.17
S 0.0000 0.0000 0.5000  0.07
Pb 0.5000 0.5000 0.5000  -0.03

Values from the calculation:
Its uncorrected formation energy is 793 meV/atom. As for the crystal system: tetragonal. As for the electronic total energy: -25.7 eV per cell.